Compound: V2PO4
Source: Alexandria
Functional: GGA+U
Structure: relaxed

a b c (Å): 6.0103 6.0103 6.0103
angles (deg): 119.93 119.93 90.12
Atoms (fractional coordinates):
V 0.0000 0.0000 0.0000
V 0.0000 0.0000 0.5000
V 0.0000 0.5000 0.0000
V 0.5000 0.0000 0.5000
P 0.3750 0.6250 0.7500
P 0.6250 0.3750 0.2500
O 0.2681 0.3047 0.5365
O 0.2684 0.7319 0.5365
O 0.2681 0.7316 0.9635
O 0.3047 0.2681 0.0365
O 0.6953 0.7319 0.9635
O 0.7319 0.2684 0.0365
O 0.7316 0.2681 0.4635
O 0.7319 0.6953 0.4635

Summary:
E	-7.31	eV per atom